Entry w
First-principles (PBE) data for a relaxed Tb5Pm2Tm12 crystal, as listed in Alexandria via LeMat-Bulk.

## Properties
- density of states at the Fermi level (states/eV per atom) = 1.419
- magnetization (μB/f.u.) = 0.0

Structure (CIF):
```
data_Tb5Pm2Tm12
_cell_length_a 9.1757
_cell_length_b 12.2318
_cell_length_c 8.4531
_cell_angle_alpha 132.32
_cell_angle_beta 90.00
_cell_angle_gamma 112.03
_symmetry_space_group_name_H-M 'P 1'
_symmetry_Int_Tables_number 1
loop_
_symmetry_equiv_pos_as_xyz
'x,y,z'
loop_
_atom_site_label
_atom_site_fract_x
_atom_site_fract_y
_atom_site_fract_z
_atom_site_occupancy
Tm1 0.5563 0.1125 0.7824 1
Pm1 0.3173 0.0000 0.0000 1
Pm2 0.6827 0.0000 0.0000 1
Tm2 0.0893 0.1786 0.2973 1
Tb1 0.3004 0.6007 0.6110 1
Tm3 0.9744 0.3087 0.0636 1
Tm4 0.1816 0.7449 0.4002 1
Tb2 0.6996 0.3993 0.3890 1
Tb3 0.2323 0.4647 0.8890 1
Tm5 0.8184 0.2551 0.5998 1
Tm6 0.9107 0.8214 0.7027 1
Tm7 0.3343 0.3087 0.0636 1
Tb4 0.0000 0.0000 0.5000 1
Tm8 0.5633 0.7449 0.4002 1
Tm9 0.4367 0.2551 0.5998 1
Tm10 0.4437 0.8875 0.2176 1
Tm11 0.6657 0.6913 0.9364 1
Tb5 0.7677 0.5353 0.1110 1
Tm12 0.0256 0.6913 0.9364 1
```



Entry x
First-principles (PBE) data for a relaxed Tb5Pm2Tm12 crystal, as listed in Alexandria via LeMat-Bulk.

## Properties
- density of states at the Fermi level (states/eV per atom) = 1.687
- magnetization (μB/f.u.) = 0.0

Structure (CIF):
```
data_Tb5Pm2Tm12
_cell_length_a 6.5675
_cell_length_b 8.5967
_cell_length_c 13.4089
_cell_angle_alpha 127.16
_cell_angle_beta 84.67
_cell_angle_gamma 99.45
_symmetry_space_group_name_H-M 'P 1'
_symmetry_Int_Tables_number 1
loop_
_symmetry_equiv_pos_as_xyz
'x,y,z'
loop_
_atom_site_label
_atom_site_fract_x
_atom_site_fract_y
_atom_site_fract_z
_atom_site_occupancy
Tm1 0.6382 0.7302 0.0043 1
Tm2 0.1640 0.5156 0.2984 1
Pm1 0.4563 0.1738 0.2225 1
Tb1 0.0000 0.0000 0.5000 1
Tm3 0.9346 0.0898 0.2628 1
Tm4 0.3199 0.3560 0.7569 1
Tm5 0.5322 0.1144 0.4427 1
Tm6 0.4678 0.8856 0.5573 1
Tb2 0.2087 0.7281 0.1689 1
Pm2 0.5437 0.8262 0.7775 1
Tb3 0.7913 0.2719 0.8311 1
Tm7 0.8472 0.1725 0.0385 1
Tb4 0.7652 0.5475 0.4751 1
Tm8 0.1528 0.8275 0.9615 1
Tb5 0.2348 0.4525 0.5249 1
Tm9 0.3618 0.2698 0.9957 1
Tm10 0.0654 0.9102 0.7372 1
Tm11 0.8360 0.4844 0.7016 1
Tm12 0.6801 0.6440 0.2431 1
```



Most stable structure, least stable structure: entry x, entry w.



Entry w
First-principles (PBE) data for a relaxed Tb7PmTm3 crystal, as listed in Alexandria via LeMat-Bulk.

## Properties
- density of states at the Fermi level (states/eV per atom) = 1.589
- magnetization (μB/f.u.) = 0.0

Structure (CIF):
```
data_Tb7PmTm3
_cell_length_a 8.5615
_cell_length_b 7.0578
_cell_length_c 7.0578
_cell_angle_alpha 120.00
_cell_angle_beta 90.00
_cell_angle_gamma 90.00
_symmetry_space_group_name_H-M 'P 1'
_symmetry_Int_Tables_number 1
loop_
_symmetry_equiv_pos_as_xyz
'x,y,z'
loop_
_atom_site_label
_atom_site_fract_x
_atom_site_fract_y
_atom_site_fract_z
_atom_site_occupancy
Tb1 0.1205 0.6667 0.3333 1
Pm1 0.4448 0.3333 0.6667 1
Tb2 0.1138 0.6640 0.8320 1
Tb3 0.4521 0.3361 0.1680 1
Tb4 0.4521 0.8320 0.6639 1
Tm1 0.7841 0.5004 0.0008 1
Tm2 0.7841 0.9992 0.4996 1
Tb5 0.1138 0.1680 0.3360 1
Tm3 0.7841 0.5004 0.4996 1
Tb6 0.1138 0.1680 0.8320 1
Tb7 0.4521 0.8320 0.1680 1
```



Entry x
First-principles (PBE) data for a relaxed Tb7PmTm3 crystal, as listed in Alexandria via LeMat-Bulk.

## Properties
- density of states at the Fermi level (states/eV per atom) = 1.473
- magnetization (μB/f.u.) = 0.0

Structure (CIF):
```
data_Tb7PmTm3
_cell_length_a 8.8884
_cell_length_b 9.8516
_cell_length_c 5.5366
_cell_angle_alpha 89.99
_cell_angle_beta 128.53
_cell_angle_gamma 105.46
_symmetry_space_group_name_H-M 'P 1'
_symmetry_Int_Tables_number 1
loop_
_symmetry_equiv_pos_as_xyz
'x,y,z'
loop_
_atom_site_label
_atom_site_fract_x
_atom_site_fract_y
_atom_site_fract_z
_atom_site_occupancy
Tm1 0.7773 0.9977 0.2773 1
Tb1 0.6463 0.2905 0.1462 1
Tb2 0.3537 0.7095 0.8538 1
Tb3 0.8264 0.6432 0.3266 1
Tb4 0.5000 0.0000 0.5000 1
Pm1 0.5000 0.5000 0.5000 1
Tm2 0.2227 0.0023 0.7227 1
Tb5 0.9224 0.8319 0.9227 1
Tb6 0.0776 0.1681 0.0773 1
Tm3 0.0000 0.5000 0.0000 1
Tb7 0.1736 0.3568 0.6734 1
```



Most stable structure, least stable structure: entry x, entry w.



Entry w
First-principles (PBE) data for a relaxed Tb2Pm6Tm crystal, as listed in Alexandria via LeMat-Bulk.

## Properties
- density of states at the Fermi level (states/eV per atom) = 1.362
- magnetization (μB/f.u.) = 0.0

Structure (CIF):
```
data_Tb2Pm6Tm
_cell_length_a 6.2201
_cell_length_b 10.0996
_cell_length_c 10.0996
_cell_angle_alpha 71.34
_cell_angle_beta 85.10
_cell_angle_gamma 85.10
_symmetry_space_group_name_H-M 'P 1'
_symmetry_Int_Tables_number 1
loop_
_symmetry_equiv_pos_as_xyz
'x,y,z'
loop_
_atom_site_label
_atom_site_fract_x
_atom_site_fract_y
_atom_site_fract_z
_atom_site_occupancy
Pm1 0.5134 0.3115 0.5940 1
Pm2 0.6520 0.0721 0.3527 1
Tb1 0.0816 0.2339 0.4314 1
Pm3 0.9866 0.4060 0.6885 1
Tb2 0.5816 0.4314 0.2339 1
Tm1 0.7500 0.9010 0.0990 1
Tb3 0.9184 0.7661 0.5686 1
Pm4 0.3480 0.9279 0.6473 1
Pm5 0.4866 0.6885 0.4060 1
Pm6 0.0134 0.5940 0.3115 1
Tm2 0.2500 0.0990 0.9010 1
Tb4 0.4184 0.5686 0.7661 1
Pm7 0.6797 0.2585 0.9771 1
Pm8 0.8203 0.0229 0.7415 1
Pm9 0.3203 0.7415 0.0229 1
Pm10 0.8480 0.6473 0.9279 1
Pm11 0.1797 0.9771 0.2585 1
Pm12 0.1520 0.3527 0.0721 1
```



Entry x
First-principles (PBE) data for a relaxed Tb2Pm6Tm crystal, as listed in Alexandria via LeMat-Bulk.

## Properties
- density of states at the Fermi level (states/eV per atom) = 1.312
- magnetization (μB/f.u.) = 0.0

Structure (CIF):
```
data_Tb2Pm6Tm
_cell_length_a 3.6481
_cell_length_b 9.9978
_cell_length_c 9.9978
_cell_angle_alpha 56.02
_cell_angle_beta 90.00
_cell_angle_gamma 90.00
_symmetry_space_group_name_H-M 'P 1'
_symmetry_Int_Tables_number 1
loop_
_symmetry_equiv_pos_as_xyz
'x,y,z'
loop_
_atom_site_label
_atom_site_fract_x
_atom_site_fract_y
_atom_site_fract_z
_atom_site_occupancy
Tb1 0.5000 0.1763 0.1763 1
Pm1 0.0000 0.8405 0.4891 1
Pm2 0.0000 0.4891 0.8405 1
Pm3 0.5000 0.6851 0.3149 1
Pm4 0.0000 0.5109 0.1595 1
Pm5 0.0000 0.1595 0.5109 1
Pm6 0.5000 0.3149 0.6851 1
Tb2 0.5000 0.8237 0.8237 1
Tm1 0.0000 0.0000 0.0000 1
```



Most stable structure, least stable structure: entry w, entry x.



Entry w
First-principles (PBE) data for a relaxed Tb6PmTm2 crystal, as listed in Alexandria via LeMat-Bulk.

## Properties
- density of states at the Fermi level (states/eV per atom) = 1.392
- magnetization (μB/f.u.) = 0.0

Structure (CIF):
```
data_Tb6PmTm2
_cell_length_a 3.5569
_cell_length_b 8.6956
_cell_length_c 12.7946
_cell_angle_alpha 132.72
_cell_angle_beta 82.01
_cell_angle_gamma 90.04
_symmetry_space_group_name_H-M 'P 1'
_symmetry_Int_Tables_number 1
loop_
_symmetry_equiv_pos_as_xyz
'x,y,z'
loop_
_atom_site_label
_atom_site_fract_x
_atom_site_fract_y
_atom_site_fract_z
_atom_site_occupancy
Tb1 0.1104 0.4437 0.7787 1
Tm1 0.4442 0.7759 0.1110 1
Tm2 0.5558 0.2241 0.8890 1
Pm1 0.0000 0.0000 0.0000 1
Tb2 0.8896 0.5563 0.2213 1
Tb3 0.3327 0.3348 0.3343 1
Tb4 0.6673 0.6652 0.6657 1
Tb5 0.2215 0.8913 0.5567 1
Tb6 0.7785 0.1087 0.4433 1
```



Entry x
First-principles (PBE) data for a relaxed Tb6PmTm2 crystal, as listed in Alexandria via LeMat-Bulk.

## Properties
- density of states at the Fermi level (states/eV per atom) = 1.552
- magnetization (μB/f.u.) = 0.0

Structure (CIF):
```
data_Tb6PmTm2
_cell_length_a 6.0373
_cell_length_b 7.4334
_cell_length_c 7.4334
_cell_angle_alpha 60.00
_cell_angle_beta 90.01
_cell_angle_gamma 90.01
_symmetry_space_group_name_H-M 'P 1'
_symmetry_Int_Tables_number 1
loop_
_symmetry_equiv_pos_as_xyz
'x,y,z'
loop_
_atom_site_label
_atom_site_fract_x
_atom_site_fract_y
_atom_site_fract_z
_atom_site_occupancy
Tm1 0.2144 0.3332 0.3332 1
Pm1 0.0000 0.0000 0.0000 1
Tb1 0.7078 0.1876 0.1876 1
Tb2 0.7066 0.1874 0.6230 1
Tb3 0.2934 0.3770 0.8126 1
Tb4 0.2922 0.8124 0.8124 1
Tb5 0.2934 0.8126 0.3770 1
Tm2 0.7856 0.6668 0.6668 1
Tb6 0.7066 0.6230 0.1874 1
```



Most stable structure, least stable structure: entry w, entry x.



Entry w
First-principles (PBE) data for a relaxed Tb12PmTm6 crystal, as listed in Alexandria via LeMat-Bulk.

## Properties
- density of states at the Fermi level (states/eV per atom) = 1.139
- magnetization (μB/f.u.) = 0.0

Structure (CIF):
```
data_Tb12PmTm6
_cell_length_a 9.2428
_cell_length_b 9.2428
_cell_length_c 9.2428
_cell_angle_alpha 109.47
_cell_angle_beta 109.47
_cell_angle_gamma 109.47
_symmetry_space_group_name_H-M 'P 1'
_symmetry_Int_Tables_number 1
loop_
_symmetry_equiv_pos_as_xyz
'x,y,z'
loop_
_atom_site_label
_atom_site_fract_x
_atom_site_fract_y
_atom_site_fract_z
_atom_site_occupancy
Tm1 0.5000 0.8578 0.3578 1
Tb1 0.1955 0.7374 0.9329 1
Tb2 0.2626 0.0671 0.8045 1
Tb3 0.4582 0.1955 0.2626 1
Tb4 0.9329 0.1955 0.7374 1
Tb5 0.7374 0.5419 0.8045 1
Tm2 0.1422 0.6422 0.5000 1
Pm1 0.0000 0.0000 0.0000 1
Tm3 0.3578 0.5000 0.8578 1
Tb6 0.7374 0.9329 0.1955 1
Tb7 0.0671 0.8045 0.2626 1
Tm4 0.6422 0.5000 0.1422 1
Tb8 0.8045 0.2626 0.0671 1
Tb9 0.5419 0.8045 0.7374 1
Tb10 0.1955 0.2626 0.4582 1
Tm5 0.5000 0.1422 0.6422 1
Tm6 0.8578 0.3578 0.5000 1
Tb11 0.2626 0.4582 0.1955 1
Tb12 0.8045 0.7374 0.5419 1
```



Entry x
First-principles (PBE) data for a relaxed Tb12PmTm6 crystal, as listed in Alexandria via LeMat-Bulk.

## Properties
- density of states at the Fermi level (states/eV per atom) = 1.330
- magnetization (μB/f.u.) = 0.0

Structure (CIF):
```
data_Tb12PmTm6
_cell_length_a 9.2728
_cell_length_b 9.2728
_cell_length_c 9.2728
_cell_angle_alpha 107.70
_cell_angle_beta 107.70
_cell_angle_gamma 107.70
_symmetry_space_group_name_H-M 'P 1'
_symmetry_Int_Tables_number 1
loop_
_symmetry_equiv_pos_as_xyz
'x,y,z'
loop_
_atom_site_label
_atom_site_fract_x
_atom_site_fract_y
_atom_site_fract_z
_atom_site_occupancy
Tb1 0.3679 0.1488 0.3679 1
Tm1 0.6878 0.6878 0.2669 1
Tb2 0.1111 0.8889 0.5000 1
Tb3 0.1488 0.3679 0.3679 1
Tb4 0.8512 0.6321 0.6321 1
Tb5 0.3679 0.3679 0.1488 1
Tb6 0.1111 0.5000 0.8889 1
Tb7 0.6321 0.6321 0.8512 1
Tb8 0.8889 0.1111 0.5000 1
Tm2 0.2669 0.6878 0.6878 1
Tm3 0.3122 0.3122 0.7331 1
Tb9 0.5000 0.8889 0.1111 1
Tb10 0.5000 0.1111 0.8889 1
Tb11 0.8889 0.5000 0.1111 1
Tm4 0.6878 0.2669 0.6878 1
Tm5 0.7331 0.3122 0.3122 1
Tm6 0.3122 0.7331 0.3122 1
Pm1 0.0000 0.0000 0.0000 1
Tb12 0.6321 0.8512 0.6321 1
```



Most stable structure, least stable structure: entry w, entry x.



Entry w
First-principles (PBE) data for a relaxed TbPm3Tm crystal, as listed in Alexandria via LeMat-Bulk.

## Properties
- density of states at the Fermi level (states/eV per atom) = 1.378
- magnetization (μB/f.u.) = 0.0

Structure (CIF):
```
data_TbPm3Tm
_cell_length_a 5.0860
_cell_length_b 6.2397
_cell_length_c 11.3797
_cell_angle_alpha 90.15
_cell_angle_beta 90.00
_cell_angle_gamma 114.05
_symmetry_space_group_name_H-M 'P 1'
_symmetry_Int_Tables_number 1
loop_
_symmetry_equiv_pos_as_xyz
'x,y,z'
loop_
_atom_site_label
_atom_site_fract_x
_atom_site_fract_y
_atom_site_fract_z
_atom_site_occupancy
Tb1 0.6498 0.2996 0.4503 1
Pm1 0.2507 0.5013 0.2481 1
Pm2 0.9495 0.8990 0.3491 1
Tm1 0.8504 0.7008 0.0487 1
Tm2 0.1496 0.2992 0.9513 1
Pm3 0.4481 0.8963 0.8517 1
Pm4 0.5519 0.1037 0.1483 1
Pm5 0.0505 0.1010 0.6509 1
Tb2 0.3502 0.7004 0.5497 1
Pm6 0.7493 0.4987 0.7519 1
```



Entry x
First-principles (PBE) data for a relaxed TbPm3Tm crystal, as listed in Alexandria via LeMat-Bulk.

## Properties
- density of states at the Fermi level (states/eV per atom) = 1.461
- magnetization (μB/f.u.) = 0.0

Structure (CIF):
```
data_TbPm3Tm
_cell_length_a 5.5122
_cell_length_b 7.1031
_cell_length_c 8.8881
_cell_angle_alpha 89.99
_cell_angle_beta 71.94
_cell_angle_gamma 90.00
_symmetry_space_group_name_H-M 'P 1'
_symmetry_Int_Tables_number 1
loop_
_symmetry_equiv_pos_as_xyz
'x,y,z'
loop_
_atom_site_label
_atom_site_fract_x
_atom_site_fract_y
_atom_site_fract_z
_atom_site_occupancy
Pm1 0.2124 0.9563 0.2935 1
Tm1 0.8138 0.9560 0.0907 1
Pm2 0.4040 0.2041 0.9108 1
Pm3 0.0130 0.4546 0.6926 1
Tb1 0.6228 0.2071 0.4725 1
Pm4 0.6217 0.7039 0.4747 1
Tb2 0.4028 0.7073 0.9129 1
Pm5 0.0126 0.9546 0.6928 1
Tm2 0.2118 0.4557 0.2948 1
Pm6 0.8133 0.4565 0.0919 1
```



Most stable structure, least stable structure: entry w, entry x.